Entry 1:
Material: CaEuGdMg
Method: DFT, GGA-PBE
State: relaxed

Cell lengths 8.1211, 8.1211, 8.1211 Å; angles 90.00, 90.00, 90.00 degrees
Closest atoms and distances in Å follow each position.
Space group F-43m (No. 216)
Asymmetric unit:
Ca: 0.0000 0.0000 0.0000  4 Eu 3.52, 4 Mg 3.52
Eu: 0.2500 0.2500 0.2500  4 Gd 3.52, 4 Ca 3.52
Gd: 0.0000 0.0000 0.5000  4 Mg 3.52, 4 Eu 3.52
Mg: 0.2500 0.2500 0.7500  4 Gd 3.52, 4 Ca 3.52

Summary:
Total energy: -6.93 eV/atom
DOS(E_F): 1.201 states/eV/atom

Entry 2:
Material: CaEuGdSbO6
Method: DFT, GGA-PBE
State: relaxed

Cell lengths 8.4143, 8.4143, 8.4143 Å; angles 90.00, 90.00, 90.00 degrees
Closest atoms and distances in Å follow each position.
Space group F-43m (No. 216)
Asymmetric unit:
Ca: 0.0000 0.0000 0.0000  12 O 2.98
Eu: 0.0000 0.0000 0.5000  12 O 2.98
Gd: 0.2500 0.2500 0.2500  6 O 2.22
Sb: 0.2500 0.2500 0.7500  6 O 1.99
O: 0.0140 0.2500 0.7500  1 Sb 1.99, 1 Gd 2.22

Summary:
Total energy: -8.52 eV/atom
Formation energy (no corrections): -2.493 eV/atom
DOS(E_F): 1.121 states/eV/atom

Entry 3:
Material: CaPmEuGd
Method: DFT, GGA-PBE
State: relaxed

Cell lengths 8.3821, 8.3821, 8.3821 Å; angles 90.00, 90.00, 90.00 degrees
Closest atoms and distances in Å follow each position.
Space group F-43m (No. 216)
Asymmetric unit:
Ca: 0.0000 0.0000 0.0000  4 Pm 3.63, 4 Eu 3.63
Pm: 0.2500 0.2500 0.7500  4 Gd 3.63, 4 Ca 3.63
Eu: 0.2500 0.2500 0.2500  4 Gd 3.63, 4 Ca 3.63
Gd: 0.0000 0.0000 0.5000  4 Pm 3.63, 4 Eu 3.63

Summary:
Total energy: -7.65 eV/atom
DOS(E_F): 1.741 states/eV/atom

Entry 4:
Material: CaEuGdSc
Method: DFT, GGA-PBE
State: relaxed

Cell lengths 8.1124, 8.1124, 8.1124 Å; angles 90.00, 90.00, 90.00 degrees
Closest atoms and distances in Å follow each position.
Space group F-43m (No. 216)
Asymmetric unit:
Ca: 0.0000 0.0000 0.0000  4 Sc 3.51, 4 Eu 3.51
Eu: 0.2500 0.2500 0.2500  4 Gd 3.51, 4 Ca 3.51
Gd: 0.0000 0.0000 0.5000  4 Eu 3.51, 4 Sc 3.51
Sc: 0.2500 0.2500 0.7500  4 Gd 3.51, 4 Ca 3.51

Summary:
Total energy: -7.98 eV/atom
DOS(E_F): 1.702 states/eV/atom

Entry 5:
Material: CaSmEuGd
Method: DFT, GGA-PBE
State: relaxed

Cell lengths 8.3627, 8.3627, 8.3627 Å; angles 90.00, 90.00, 90.00 degrees
Closest atoms and distances in Å follow each position.
Space group F-43m (No. 216)
Asymmetric unit:
Ca: 0.0000 0.0000 0.0000  4 Sm 3.62, 4 Eu 3.62
Sm: 0.2500 0.2500 0.2500  4 Gd 3.62, 4 Ca 3.62
Eu: 0.2500 0.2500 0.7500  4 Gd 3.62, 4 Ca 3.62
Gd: 0.0000 0.0000 0.5000  4 Sm 3.62, 4 Eu 3.62

Summary:
Total energy: -7.63 eV/atom
DOS(E_F): 1.769 states/eV/atom

Entry 6:
Material: SrCaEuGd
Method: DFT, GGA-PBE
State: relaxed

Cell lengths 8.7091, 8.7091, 8.7091 Å; angles 90.00, 90.00, 90.00 degrees
Closest atoms and distances in Å follow each position.
Space group F-43m (No. 216)
Asymmetric unit:
Sr: 0.0000 0.0000 0.0000  4 Ca 3.77, 4 Eu 3.77
Ca: 0.2500 0.2500 0.2500  4 Gd 3.77, 4 Sr 3.77
Eu: 0.2500 0.2500 0.7500  4 Sr 3.77, 4 Gd 3.77
Gd: 0.0000 0.0000 0.5000  4 Eu 3.77, 4 Ca 3.77

Summary:
Total energy: -6.88 eV/atom
DOS(E_F): 3.263 states/eV/atom

Entry 7:
Material: CaTbEuGd
Method: DFT, GGA-PBE
State: relaxed

Cell lengths 8.3047, 8.3047, 8.3047 Å; angles 90.00, 90.00, 90.00 degrees
Closest atoms and distances in Å follow each position.
Space group F-43m (No. 216)
Asymmetric unit:
Ca: 0.0000 0.0000 0.0000  4 Eu 3.60, 4 Tb 3.60
Tb: 0.2500 0.2500 0.7500  4 Ca 3.60, 4 Gd 3.60
Eu: 0.2500 0.2500 0.2500  4 Gd 3.60, 4 Ca 3.60
Gd: 0.0000 0.0000 0.5000  4 Tb 3.60, 4 Eu 3.60

Summary:
Total energy: -7.61 eV/atom
DOS(E_F): 1.349 states/eV/atom

Entry 8:
Material: CaEuGdTl
Method: DFT, GGA-PBE
State: relaxed

Cell lengths 8.0240, 8.0240, 8.0240 Å; angles 90.00, 90.00, 90.00 degrees
Closest atoms and distances in Å follow each position.
Space group F-43m (No. 216)
Asymmetric unit:
Ca: 0.0000 0.0000 0.0000  4 Gd 3.47, 4 Eu 3.47
Eu: 0.2500 0.2500 0.7500  4 Tl 3.47, 4 Ca 3.47
Gd: 0.2500 0.2500 0.2500  4 Tl 3.47, 4 Ca 3.47
Tl: 0.0000 0.0000 0.5000  4 Gd 3.47, 4 Eu 3.47

Summary:
Total energy: -7.28 eV/atom
DOS(E_F): 1.230 states/eV/atom

Entry 9:
Material: CaEuGe4
Method: DFT, GGA-PBE
State: relaxed

Cell lengths 8.0954, 8.0954, 8.0954 Å; angles 90.00, 90.00, 90.00 degrees
Closest atoms and distances in Å follow each position.
Space group F-43m (No. 216)
Asymmetric unit:
Ca: 0.0000 0.0000 0.0000  12 Ge 3.36, 4 Eu 3.51
Eu: 0.2500 0.2500 0.2500  12 Ge 3.36, 4 Ca 3.51
Ge: 0.1249 0.1249 0.6249  6 Ge 2.86

Summary:
Total energy: -5.56 eV/atom

Entry 10:
Material: Ca3EuGe
Method: DFT, GGA-PBE
State: relaxed

Cell lengths 5.8310, 5.8310, 5.8310 Å; angles 90.00, 90.00, 90.00 degrees
Closest atoms and distances in Å follow each position.
Space group Pm-3m (No. 221)
Asymmetric unit:
Ca: 0.0000 0.0000 0.5000  2 Ge 2.92
Eu: 0.5000 0.5000 0.5000  12 Ca 4.12
Ge: 0.0000 0.0000 0.0000  6 Ca 2.92

Summary:
Total energy: -4.39 eV/atom
DOS(E_F): 2.674 states/eV/atom

Entry 11:
Material: CaEuInGe
Method: DFT, GGA-PBE
State: relaxed

Cell lengths 7.5979, 7.5979, 7.5979 Å; angles 90.00, 90.00, 90.00 degrees
Closest atoms and distances in Å follow each position.
Space group F-43m (No. 216)
Asymmetric unit:
Ca: 0.0000 0.0000 0.0000  4 In 3.29, 4 Ge 3.29
Eu: 0.0000 0.0000 0.5000  4 Ge 3.29, 4 In 3.29
In: 0.2500 0.2500 0.2500  4 Eu 3.29, 4 Ca 3.29
Ge: 0.2500 0.2500 0.7500  4 Ca 3.29, 4 Eu 3.29

Summary:
Total energy: -5.38 eV/atom
DOS(E_F): 0.732 states/eV/atom

Entry 12:
Material: LiCaEuGe
Method: DFT, GGA-PBE
State: relaxed

Cell lengths 7.4464, 7.4464, 7.4464 Å; angles 90.00, 90.00, 90.00 degrees
Closest atoms and distances in Å follow each position.
Space group F-43m (No. 216)
Asymmetric unit:
Li: 0.0000 0.0000 0.0000  4 Ca 3.22, 4 Eu 3.22
Ca: 0.2500 0.2500 0.7500  4 Ge 3.22, 4 Li 3.22
Eu: 0.2500 0.2500 0.2500  4 Ge 3.22, 4 Li 3.22
Ge: 0.0000 0.0000 0.5000  4 Ca 3.22, 4 Eu 3.22

Summary:
Total energy: -5.09 eV/atom
DOS(E_F): 2.303 states/eV/atom

Entry 13:
Material: NaCaEuGe
Method: DFT, GGA-PBE
State: relaxed

Cell lengths 7.6377, 7.6377, 7.6377 Å; angles 90.00, 90.00, 90.00 degrees
Closest atoms and distances in Å follow each position.
Space group F-43m (No. 216)
Asymmetric unit:
Na: 0.0000 0.0000 0.0000  4 Ca 3.31, 4 Eu 3.31
Ca: 0.2500 0.2500 0.2500  4 Ge 3.31, 4 Na 3.31
Eu: 0.2500 0.2500 0.7500  4 Ge 3.31, 4 Na 3.31
Ge: 0.0000 0.0000 0.5000  4 Eu 3.31, 4 Ca 3.31

Summary:
Total energy: -4.86 eV/atom
DOS(E_F): 2.580 states/eV/atom

Entry 14:
Material: CaEu2Ge4O12
Method: DFT, GGA-PBE
State: relaxed

Cell lengths 14.4948, 14.5197, 5.1934 Å; angles 90.00, 90.00, 90.00 degrees
Closest atoms and distances in Å follow each position.
Space group Cmme (No. 67)
Asymmetric unit:
Ca: 0.2500 0.2500 0.0000  4 O 2.31
Eu: 0.0000 0.0000 0.0000  4 O 2.29
Eu: 0.2500 0.0000 0.0000  8 O 2.44-2.49
Ge: 0.1135 0.1385 0.4963  4 O 1.73-1.84
O: 0.0000 0.1276 0.3423  2 Ge 1.84
O: 0.1160 0.0592 0.7512  1 Ge 1.75
O: 0.1208 0.2500 0.6535  2 Ge 1.82
O: 0.1922 0.1309 0.2461  1 Ge 1.73

Summary:
Total energy: -7.44 eV/atom
Formation energy (no corrections): -2.149 eV/atom
DOS(E_F): 1.179 states/eV/atom

Entry 15:
Material: CaEuGe4O12
Method: DFT, GGA-PBE
State: relaxed

Cell lengths 5.3090, 5.3090, 7.5203 Å; angles 90.00, 90.00, 90.00 degrees
Closest atoms and distances in Å follow each position.
Space group P4/mmm (No. 123)
Asymmetric unit:
Ca: 0.0000 0.0000 0.0000  12 O 2.65-2.69
Eu: 0.5000 0.5000 0.5000  12 O 2.62-2.65
Ge: 0.0000 0.5000 0.2470  6 O 1.86-1.90
O: 0.0000 0.5000 0.0000  2 Ge 1.86
O: 0.0000 0.5000 0.5000  2 Ge 1.90
O: 0.2519 0.2519 0.2546  2 Ge 1.88

Summary:
Total energy: -6.55 eV/atom
Formation energy (no corrections): -1.532 eV/atom
DOS(E_F): 0.657 states/eV/atom

Entry 16:
Material: CaEuGePb
Method: DFT, GGA-PBE
State: relaxed

Cell lengths 7.6861, 7.6861, 7.6861 Å; angles 90.00, 90.00, 90.00 degrees
Closest atoms and distances in Å follow each position.
Space group F-43m (No. 216)
Asymmetric unit:
Ca: 0.0000 0.0000 0.0000  4 Ge 3.33, 4 Pb 3.33
Eu: 0.0000 0.0000 0.5000  4 Pb 3.33, 4 Ge 3.33
Ge: 0.2500 0.2500 0.2500  4 Ca 3.33, 4 Eu 3.33
Pb: 0.2500 0.2500 0.7500  4 Ca 3.33, 4 Eu 3.33

Summary:
Total energy: -5.63 eV/atom
DOS(E_F): 0.625 states/eV/atom

Entry 17:
Material: CaEuSnGe
Method: DFT, GGA-PBE
State: relaxed

Cell lengths 7.6095, 7.6095, 7.6095 Å; angles 90.00, 90.00, 90.00 degrees
Closest atoms and distances in Å follow each position.
Space group F-43m (No. 216)
Asymmetric unit:
Ca: 0.0000 0.0000 0.0000  4 Ge 3.30, 4 Sn 3.30
Eu: 0.0000 0.0000 0.5000  4 Sn 3.30, 4 Ge 3.30
Sn: 0.2500 0.2500 0.7500  4 Ca 3.30, 4 Eu 3.30
Ge: 0.2500 0.2500 0.2500  4 Eu 3.30, 4 Ca 3.30

Summary:
Total energy: -5.76 eV/atom
DOS(E_F): 0.441 states/eV/atom

Entry 18:
Material: Ca5Eu3H12
Method: DFT, GGA-PBE
State: relaxed

Cell lengths 13.7064, 13.7064, 13.7064 Å; angles 90.00, 90.00, 90.00 degrees
Closest atoms and distances in Å follow each position.
Space group Ia-3d (No. 230)
Asymmetric unit:
Ca: 0.0000 0.0000 0.0000  6 H 2.29
Ca: 0.0000 0.2500 0.3750  4 H 2.22
Eu: 0.0000 0.2500 0.1250  8 H 2.47-2.57
H: 0.0127 0.0651 0.6536  2 Ca 2.22-2.29, 1 Eu 2.47

Summary:
Total energy: -4.47 eV/atom
DOS(E_F): 0.369 states/eV/atom

Entry 19:
Material: CaEuH2
Method: DFT, GGA-PBE
State: relaxed

Cell lengths 3.7649, 3.7649, 19.7358 Å; angles 90.00, 90.00, 120.00 degrees
Closest atoms and distances in Å follow each position.
Space group R-3m (No. 166, hexagonal axes)
Asymmetric unit:
Ca: 0.0000 0.0000 0.0000  6 H 2.35
Eu: 0.0000 0.0000 0.5000  2 H 2.40
H: 0.0000 0.0000 0.3784  3 Ca 2.35, 1 Eu 2.40

Summary:
Total energy: -5.09 eV/atom
DOS(E_F): 0.379 states/eV/atom

Entry 20:
Material: CaEu3H
Method: DFT, GGA-PBE
State: relaxed

Cell lengths 5.4262, 5.4262, 5.4262 Å; angles 90.00, 90.00, 90.00 degrees
Closest atoms and distances in Å follow each position.
Space group Pm-3m (No. 221)
Asymmetric unit:
Ca: 0.0000 0.0000 0.0000  12 Eu 3.84
Eu: 0.0000 0.5000 0.5000  2 H 2.71
H: 0.5000 0.5000 0.5000  6 Eu 2.71

Summary:
Total energy: -7.38 eV/atom
DOS(E_F): 0.640 states/eV/atom

Entry 21:
Material: Ca2EuH
Method: DFT, GGA-PBE
State: relaxed

Cell lengths 3.7681, 3.7681, 28.4843 Å; angles 90.00, 90.00, 120.00 degrees
Closest atoms and distances in Å follow each position.
Space group R-3m (No. 166, hexagonal axes)
Asymmetric unit:
Ca: 0.0000 0.0000 0.2188  3 H 2.63
Eu: 0.0000 0.0000 0.0000  6 Eu 3.77, 6 Ca 3.92
H: 0.0000 0.0000 0.5000  6 Ca 2.63

Summary:
Total energy: -4.52 eV/atom
DOS(E_F): 0.837 states/eV/atom

Entry 22:
Material: Ca2EuHf
Method: DFT, GGA-PBE
State: relaxed

Cell lengths 3.4426, 3.4426, 39.0289 Å; angles 90.00, 90.00, 120.00 degrees
Closest atoms and distances in Å follow each position.
Space group R-3m (No. 166, hexagonal axes)
Asymmetric unit:
Ca: 0.0000 0.0000 0.0823  1 Hf 3.21, 6 Ca 3.44
Eu: 0.0000 0.0000 0.5000  6 Eu 3.44, 6 Ca 3.85
Hf: 0.0000 0.0000 0.0000  2 Ca 3.21, 6 Hf 3.44

Summary:
Total energy: -5.51 eV/atom
DOS(E_F): 1.555 states/eV/atom